The following is a DFT calculation (PBEsol) of an optimized crystal structure of LiFeF3.

Calculated values
electronic total energy: -5.55 eV per atom
SG: P1 (1)
energy above the lowest structure with this stoichiometry: 55 meV/atom
formation energy without anion corrections: -2.205 eV/atom
magnetization: 12.0 Bohr magnetons per cell

Unit cell a=5.0643 b=5.0605 c=7.5010 alpha=90.09 beta=89.94 gamma=60.01
Atoms (fractional coordinates):
Li1 0.0016 0.9996 0.3426
Fe1 0.6679 0.6670 0.6771
F1 0.3054 0.6857 0.1897
F2 0.9775 0.6856 0.4891
F3 0.6871 0.3372 0.4890
F4 0.9642 0.3142 0.8165
Li2 0.6689 0.6647 0.2694
F5 0.6892 0.0082 0.1901
Fe2 0.0026 0.9961 0.9950
Li3 0.9994 0.0015 0.6561
F6 0.3130 0.7182 0.8131
F7 0.3378 0.9775 0.4893
F8 0.0122 0.3011 0.1891
F9 0.7181 0.9678 0.8158
Fe3 0.3345 0.3327 0.3450

***

The following is a DFT calculation (PBEsol) of an optimized crystal structure of Mg2CuIr.

Calculated values
electronic total energy: -4.60 eV per atom
SG: P4/mmm (123)
formation energy from the elements: -4.59 kcal/mol of atoms
magnetization: 0.0 Bohr magnetons per cell

Unit cell a=3.1181 b=4.3417 c=4.3414 alpha=90.00 beta=90.00 gamma=90.00
Atoms (fractional coordinates):
Ir1 0.5000 0.5000 0.1246
Mg1 0.0000 0.5000 0.6247
Cu1 0.5000 0.0000 0.6255
Mg2 0.0000 0.0000 0.1252

***

The following is a DFT calculation (PBEsol) of an optimized crystal structure of AlAu.

Calculated values
electronic total energy: -4.37 eV per atom
SG: R-3m (166)
formation energy from the elements: -8.28 kcal/mol of atoms
magnetization: 0.0 Bohr magnetons per cell

Unit cell a=4.2291 b=4.2291 c=5.2703 alpha=66.35 beta=66.35 gamma=60.00
Atoms (fractional coordinates):
Au1 0.2847 0.2847 0.1458
Al1 0.8959 0.8959 0.3123
Au2 0.7153 0.7153 0.8542
Al2 0.1041 0.1041 0.6877

***

The following is a DFT calculation (PBEsol) of an optimized crystal structure of BeCuSN2.

Calculated values
electronic total energy: -4.96 eV per atom
SG: P4/mmm (123)
formation energy without anion corrections: 0.993 eV/atom
magnetization: 0.0 Bohr magnetons per cell

Unit cell a=3.2094 b=3.2094 c=6.1294 alpha=90.00 beta=90.00 gamma=90.00
Atoms (fractional coordinates):
Cu1 0.5000 0.5000 0.5000
Be1 0.0000 0.0000 0.0000
N1 0.0000 0.5000 0.0000
N2 0.5000 0.0000 0.0000
S1 0.0000 0.0000 0.5000

***

The following is a DFT calculation (PBEsol) of an optimized crystal structure of NiBiO3.

Calculated values
electronic total energy: -6.25 eV per atom
SG: R3c (161)
formation energy without anion corrections: -1.013 eV/atom
magnetization: 0.6 Bohr magnetons per cell

Unit cell a=5.4184 b=5.4184 c=5.3541 alpha=59.60 beta=59.60 gamma=60.00
Atoms (fractional coordinates):
O1 0.6918 0.8205 0.2558
O2 0.2320 0.6918 0.2558
Ni1 0.0079 0.0079 0.9762
Ni2 0.5079 0.5079 0.4762
O3 0.3205 0.1918 0.7558
O4 0.7320 0.3205 0.7558
O5 0.8205 0.2320 0.2558
Bi1 0.7763 0.7763 0.6712
Bi2 0.2763 0.2763 0.1712
O6 0.1918 0.7320 0.7558

***

The following is a DFT calculation (PBEsol) of an optimized crystal structure of Ni8Bi8S.

Calculated values
electronic total energy: -5.32 eV per atom
SG: P2_12_12 (18)
formation energy without anion corrections: -0.143 eV/atom
magnetization: 0.0 Bohr magnetons per cell

Unit cell a=4.1412 b=10.0120 c=17.4092 alpha=90.00 beta=90.00 gamma=90.00
Atoms (fractional coordinates):
Ni1 0.4978 0.1877 0.0324
Bi1 0.5022 0.8270 0.5990
Bi2 0.0004 0.3958 0.2977
Bi3 0.0005 0.8525 0.4363
Bi4 0.9995 0.3525 0.0637
Ni2 0.9985 0.5906 0.4028
Bi5 0.5014 0.6691 0.3133
Ni3 0.5022 0.3123 0.5324
Bi6 0.5022 0.1730 0.4010
Ni4 0.9989 0.8249 0.0530
Bi7 0.0005 0.1475 0.5637
Ni5 0.9985 0.4094 0.5972
Ni6 0.4974 0.9411 0.1062
Ni7 0.4974 0.0589 0.8938
Bi8 0.4978 0.3270 0.9010
Bi9 0.4986 0.8309 0.8133
Ni8 0.5026 0.5589 0.6062
S1 0.2519 0.5000 0.5000
Ni9 0.5022 0.6877 0.4676
Ni10 0.5026 0.4411 0.3938
S2 0.7481 0.0000 0.0000
Ni11 0.0011 0.6751 0.5530
Ni12 0.0011 0.3249 0.4470
Bi10 0.5014 0.3309 0.6867
Bi11 0.0004 0.6042 0.7023
Ni13 0.4978 0.8123 0.9676
Ni14 0.0015 0.0906 0.0972
Bi12 0.9996 0.1042 0.7977
Bi13 0.4986 0.1691 0.1867
Bi14 0.4978 0.6730 0.0990
Ni15 0.9989 0.1751 0.9470
Bi15 0.9996 0.8958 0.2023
Ni16 0.0015 0.9094 0.9028
Bi16 0.9995 0.6475 0.9363

***

electronic total energy of number 6 (Ni8Bi8S)?
-5.32 eV per atom